Record 1
Entry from the Alexandria database: a relaxed LaUPaN3 crystal (PBE).

Output
uncorrected energy = -9.63 eV/atom
Fermi-level density of states = 14.66 states/eV per cell
magnetization = 4.4 Bohr magnetons per cell
formation energy (no corrections) = -1.18 eV/atom

Geometry as CIF:
```
data_LaUPaN3
_chemical_formula_sum 'La2 U2 Pa2 N6'
_symmetry_space_group_name_H-M 'P 1 21/m 1'
_symmetry_Int_Tables_number 11
_cell_length_a 7.1430
_cell_length_b 3.4675
_cell_length_c 8.5724
_cell_angle_alpha 90.00
_cell_angle_beta 92.16
_cell_angle_gamma 90.00
loop_
_symmetry_equiv_pos_as_xyz
'x,y,z'
'-x,-y,-z'
'-x,y+1/2,-z'
'x,-y+1/2,z'
loop_
_atom_site_label
_atom_site_fract_x
_atom_site_fract_y
_atom_site_fract_z
La1 0.1293 0.2500 0.1656
U1 0.1954 0.2500 0.5819
Pa1 0.3716 0.7500 0.8475
N1 0.1173 0.7500 0.4211
N2 0.1450 0.2500 0.8659
N3 0.4066 0.7500 0.1016
```

Record 2
Entry from the Alexandria database: a relaxed KMgPbCl6 crystal (PBE).

Output
uncorrected energy = -3.36 eV/atom
Fermi-level density of states = 13.09 states/eV per cell
magnetization = 0.0 Bohr magnetons per cell
formation energy (no corrections) = -1.42 eV/atom

Geometry as CIF:
```
data_KMgPbCl6
_chemical_formula_sum 'K2 Mg2 Pb2 Cl12'
_symmetry_space_group_name_H-M 'P -3 1 c'
_symmetry_Int_Tables_number 163
_symmetry_space_group_name_Hall '-P 3 2c'
_cell_length_a 6.8748
_cell_length_b 6.8748
_cell_length_c 13.7999
_cell_angle_alpha 90.00
_cell_angle_beta 90.00
_cell_angle_gamma 120.00
loop_
_atom_site_label
_atom_site_fract_x
_atom_site_fract_y
_atom_site_fract_z
K1 0.0000 0.0000 0.0000
Mg1 0.3333 0.6667 0.2500
Pb1 0.3333 0.6667 0.7500
Cl1 0.0240 0.3849 0.1409
```

Record 3
Entry from the Alexandria database: a relaxed PaBiAs crystal (PBE).

Output
uncorrected energy = -6.29 eV/atom
energy above the most stable polymorph in this dataset = 0.264 eV/atom
Fermi-level density of states = 3.51 states/eV per cell
energy of formation = -0.278 eV per atom
magnetization = 0.0 Bohr magnetons per cell

Geometry as CIF:
```
data_PaBiAs
_chemical_formula_sum 'Pa1 Bi1 As1'
_symmetry_space_group_name_H-M 'P -6 m 2'
_symmetry_Int_Tables_number 187
_symmetry_space_group_name_Hall 'P -6 2'
_cell_length_a 4.7861
_cell_length_b 4.7861
_cell_length_c 4.1908
_cell_angle_alpha 90.00
_cell_angle_beta 90.00
_cell_angle_gamma 120.00
loop_
_atom_site_label
_atom_site_fract_x
_atom_site_fract_y
_atom_site_fract_z
Pa1 0.0000 0.0000 0.0000
Bi1 0.6667 0.3333 0.5000
As1 0.3333 0.6667 0.0000
```

Record 4
Entry from the Alexandria database: a relaxed Tb2CeY6Er3 crystal (PBE).

Output
uncorrected energy = -5.60 eV/atom
Fermi-level density of states = 41.59 states/eV per cell
energy of formation = 0.041 eV per atom
magnetization = 2.2 Bohr magnetons per cell

Geometry as CIF:
```
data_Tb2CeY6Er3
_chemical_formula_sum 'Tb4 Ce2 Y12 Er6'
_symmetry_space_group_name_H-M 'C 1 2/m 1'
_symmetry_Int_Tables_number 12
_cell_length_a 6.1601
_cell_length_b 10.6636
_cell_length_c 11.7770
_cell_angle_alpha 90.00
_cell_angle_beta 100.04
_cell_angle_gamma 90.00
loop_
_symmetry_equiv_pos_as_xyz
'x,y,z'
'-x,-y,-z'
'-x,y,-z'
'x,-y,z'
'x+1/2,y+1/2,z'
'-x+1/2,-y+1/2,-z'
'-x+1/2,y+1/2,-z'
'x+1/2,-y+1/2,z'
loop_
_atom_site_label
_atom_site_fract_x
_atom_site_fract_y
_atom_site_fract_z
Tb1 0.0000 0.1665 0.0000
Ce1 0.0000 0.5000 0.0000
Y1 0.2477 0.5000 0.7487
Y2 0.2495 0.3343 0.2511
Er1 0.0000 0.0000 0.5000
Er2 0.0000 0.3327 0.5000
```

Record 5
Entry from the Alexandria database: a relaxed SrFeRhBr2 crystal (PBE).

Output
uncorrected energy = -3.52 eV/atom
Fermi-level density of states = 4.99 states/eV per cell
magnetization = 5.0 Bohr magnetons per cell
formation energy (no corrections) = 0.64 eV/atom

Geometry as CIF:
```
data_SrFeRhBr2
_chemical_formula_sum 'Sr1 Fe1 Rh1 Br2'
_symmetry_space_group_name_H-M 'P 4/m m m'
_symmetry_Int_Tables_number 123
_symmetry_space_group_name_Hall '-P 4 2'
_cell_length_a 5.7749
_cell_length_b 5.7749
_cell_length_c 5.4422
_cell_angle_alpha 90.00
_cell_angle_beta 90.00
_cell_angle_gamma 90.00
loop_
_atom_site_label
_atom_site_fract_x
_atom_site_fract_y
_atom_site_fract_z
Sr1 0.0000 0.0000 0.0000
Fe1 0.5000 0.5000 0.5000
Rh1 0.0000 0.0000 0.5000
Br1 0.0000 0.5000 0.0000
```

Record 6
Entry from the Alexandria database: a relaxed Zn2IrPb crystal (PBE).

Output
uncorrected energy = -3.61 eV/atom
Fermi-level density of states = 2.99 states/eV per cell
energy of formation = 0.167 eV per atom
magnetization = 0.0 Bohr magnetons per cell

Geometry as CIF:
```
data_Zn2IrPb
_chemical_formula_sum 'Zn4 Ir2 Pb2'
_symmetry_space_group_name_H-M 'C 1 2/m 1'
_symmetry_Int_Tables_number 12
_cell_length_a 8.6785
_cell_length_b 3.8050
_cell_length_c 4.7642
_cell_angle_alpha 90.00
_cell_angle_beta 107.16
_cell_angle_gamma 90.00
loop_
_symmetry_equiv_pos_as_xyz
'x,y,z'
'-x,-y,-z'
'-x,y,-z'
'x,-y,z'
'x+1/2,y+1/2,z'
'-x+1/2,-y+1/2,-z'
'-x+1/2,y+1/2,-z'
'x+1/2,-y+1/2,z'
loop_
_atom_site_label
_atom_site_fract_x
_atom_site_fract_y
_atom_site_fract_z
Zn1 0.2231 0.0000 0.1556
Ir1 0.0000 0.5000 0.0000
Pb1 0.0000 0.0000 0.5000
```

- The lowest Fermi-level density of states belongs to which entry?
  Zn2IrPb